Entry from Alexandria via LeMat-Bulk: crystalline PrZrH at its relaxed geometry (GGA-PBE).

Computed properties:
E_tot   -0.4154 Ry/atom
Density of states at the Fermi level   2.6 states/eV/f.u.

Geometry as POSCAR:
```
PrZrH
1.0
4.0843 -4.1107 0.0000
4.0843 4.1107 0.0000
-0.5858 0.0000 14.1988
Pr Zr H
8 8 8
direct
0.0000 0.0000 0.0000
0.0951 0.4881 0.1296
0.1031 0.4896 0.6275
0.5104 0.8969 0.3725
0.5119 0.9049 0.8704
0.5935 0.4000 0.7615
0.5997 0.4003 0.5000
0.6000 0.4065 0.2385
0.0072 0.9588 0.2620
0.0230 0.9770 0.5000
0.0412 0.9928 0.7380
0.0778 0.4627 0.3777
0.0791 0.4644 0.8841
0.5356 0.9209 0.1159
0.5373 0.9222 0.6223
0.5680 0.4320 0.0000
0.1644 0.1155 0.3803
0.2326 0.6709 0.2801
0.2872 0.7128 0.5000
0.3090 0.6910 0.0000
0.3291 0.7674 0.7199
0.8265 0.1244 0.1547
0.8756 0.1735 0.8453
0.8845 0.8356 0.6197
```